# 1
Material: Ga2CuPt2
Method: DFT, PBE-GGA
State: relaxed

Its offset from the most stable computed form is 0.00 kJ/mol of atoms. The raw total energy comes out at -4.869 eV/atom. The value obtained for the total magnetic moment is 0.0 μB per formula unit. For the formation energy, the calculation gives -423 meV/atom.

a b c (Å): 7.361 7.361 2.869
angles (deg): 90.00 90.00 90.00
Space group P4/mbm (No. 127)
One atom of each set of equivalent atoms:
1 Ga 0.155 0.345 0.000 (multiplicity 4)
2 Cu 0.000 0.000 0.500 (multiplicity 2)
3 Pt 0.146 0.646 0.500 (multiplicity 4)

# 2
Material: La2ScCl
Method: DFT, PBE-GGA
State: relaxed

Its offset from the most stable computed form is 0.00 kJ/mol of atoms. The raw total energy comes out at -5.139 eV/atom. Its uncorrected formation energy is -0.63 eV/atom. The value obtained for the total magnetic moment is 0.8 μB per formula unit.

a b c (Å): 3.6942 3.6942 30.5316
angles (deg): 90.00 90.00 120.00
Space group R-3m (No. 166, hexagonal axes)
One atom of each set of equivalent atoms:
1 La 0.0000 0.0000 0.2434 (multiplicity 6)
2 Sc 0.0000 0.0000 0.0000 (multiplicity 3)
3 Cl 0.0000 0.0000 0.5000 (multiplicity 3)

# 3
Material: BaY2Ag2
Method: DFT, PBE-GGA
State: relaxed

Its offset from the most stable computed form is 2.22 kJ/mol of atoms. The raw total energy comes out at -4.183 eV/atom. The value obtained for the total magnetic moment is 0.0 μB per formula unit. For the formation energy, the calculation gives -72 meV/atom.

a b c (Å): 8.755 8.755 3.878
angles (deg): 90.00 90.00 90.00
Space group P4/mbm (No. 127)
One atom of each set of equivalent atoms:
1 Ba 0.000 0.000 0.000 (multiplicity 2)
2 Y 0.154 0.346 0.500 (multiplicity 4)
3 Ag 0.124 0.624 0.000 (multiplicity 4)

# 4
Material: Mn2CdFeH
Method: DFT, PBE-GGA
State: relaxed

Its offset from the most stable computed form is 7.76 kJ/mol of atoms. The raw total energy comes out at -5.961 eV/atom. The value obtained for the total magnetic moment is 9.2 μB per formula unit.

a b c (Å): 3.810 3.872 8.355
angles (deg): 90.00 90.00 90.00
Space group Imm2 (No. 44)
One atom of each set of equivalent atoms:
1 Mn 0.000 0.000 0.000 (multiplicity 2)
2 Mn 0.000 0.500 0.240 (multiplicity 2)
3 Cd 0.000 0.500 0.756 (multiplicity 2)
4 Fe 0.000 0.000 0.501 (multiplicity 2)
5 H 0.000 0.500 0.457 (multiplicity 2)

# 5
Material: ZrTiHg2
Method: DFT, PBE-GGA
State: relaxed

Its offset from the most stable computed form is 1.81 kJ/mol of atoms. The raw total energy comes out at -4.323 eV/atom. The value obtained for the total magnetic moment is 0.0 μB per formula unit. For the formation energy, the calculation gives -61 meV/atom.

a b c (Å): 3.417 3.417 6.966
angles (deg): 90.00 90.00 90.00
Space group P4/mmm (No. 123)
One atom of each set of equivalent atoms:
1 Zr 0.000 0.000 0.000 (multiplicity 1)
2 Ti 0.000 0.000 0.500 (multiplicity 1)
3 Hg 0.500 0.500 0.269 (multiplicity 2)

# 6
Material: Ni2Sn4Ir
Method: DFT, PBE-GGA
State: relaxed

The raw total energy comes out at -5.441 eV/atom. The value obtained for the total magnetic moment is 0.0 μB per formula unit. For the formation energy, the calculation gives -236 meV/atom.

a b c (Å): 12.516 4.133 5.375
angles (deg): 90.00 105.21 90.00
Space group C2/m (No. 12)
One atom of each set of equivalent atoms:
1 Ni 0.219 0.000 0.337 (multiplicity 4)
2 Sn 0.074 0.500 0.323 (multiplicity 4)
3 Sn 0.175 0.000 0.811 (multiplicity 4)
4 Ir 0.000 0.000 0.000 (multiplicity 2)